[1]
! LaScAg4 | Alexandria via LeMat-Bulk | GGA-PBE | relaxed; values from VASP
&SYSTEM
  ibrav = 0, nat = 6, ntyp = 3
/
ATOMIC_SPECIES
La 138.91 La.upf
Sc 44.96 Sc.upf
Ag 107.87 Ag.upf
CELL_PARAMETERS angstrom
0.000 4.037 4.037
4.037 0.000 4.037
4.037 4.037 0.000
ATOMIC_POSITIONS crystal
La 0.000 0.000 0.000
Sc 0.750 0.750 0.750
Ag 0.376 0.376 0.376
Ag 0.376 0.376 0.873
Ag 0.376 0.873 0.376
Ag 0.873 0.376 0.376
! - energy (eV/cell) = -23.36
! - magnetic moment (μB per cell) = 0.01
! - ΔH_f (0 K) (kJ per mole of atoms) = -11

[2]
! LaSc2Ag | Alexandria via LeMat-Bulk | GGA-PBE | relaxed; values from VASP
&SYSTEM
  ibrav = 0, nat = 4, ntyp = 3
/
ATOMIC_SPECIES
La 138.91 La.upf
Sc 44.96 Sc.upf
Ag 107.87 Ag.upf
CELL_PARAMETERS angstrom
5.203 0.000 0.000
0.000 3.648 0.000
-0.009 0.000 5.340
ATOMIC_POSITIONS crystal
La 0.000 0.000 0.000
Sc 0.500 0.000 0.500
Sc 0.500 0.500 0.000
Ag 0.000 0.500 0.500
! - energy (eV/cell) = -20.40
! - magnetic moment (μB per cell) = 0.17
! - ΔH_f (0 K) (kJ per mole of atoms) = 1
! - ΔE to the lowest computed polymorph (meV per atom) = 94.5

[3]
! LaSc2Ag | Alexandria via LeMat-Bulk | GGA-PBE | relaxed; values from VASP
&SYSTEM
  ibrav = 0, nat = 12, ntyp = 3
/
ATOMIC_SPECIES
La 138.91 La.upf
Sc 44.96 Sc.upf
Ag 107.87 Ag.upf
CELL_PARAMETERS angstrom
3.444 0.000 0.000
-1.722 2.983 0.000
0.000 0.000 30.339
ATOMIC_POSITIONS crystal
La 0.000 0.000 0.000
La 0.333 0.667 0.667
La 0.667 0.333 0.333
Sc 0.000 0.000 0.570
Sc 0.000 0.000 0.761
Sc 0.333 0.667 0.237
Sc 0.333 0.667 0.428
Sc 0.667 0.333 0.094
Sc 0.667 0.333 0.903
Ag 0.000 0.000 0.165
Ag 0.333 0.667 0.832
Ag 0.667 0.333 0.499
! - energy (eV/cell) = -60.48
! - magnetic moment (μB per cell) = 0.00
! - ΔH_f (0 K) (kJ per mole of atoms) = 7
! - ΔE to the lowest computed polymorph (meV per atom) = 153.9

[4]
! LaScAg2 | Alexandria via LeMat-Bulk | GGA-PBE | relaxed; values from VASP
&SYSTEM
  ibrav = 0, nat = 4, ntyp = 3
/
ATOMIC_SPECIES
La 138.91 La.upf
Sc 44.96 Sc.upf
Ag 107.87 Ag.upf
CELL_PARAMETERS angstrom
3.566 0.000 0.000
0.000 3.521 0.000
-0.008 0.000 7.559
ATOMIC_POSITIONS crystal
La 0.000 0.000 0.000
Sc 0.000 0.000 0.500
Ag 0.500 0.500 0.294
Ag 0.500 0.500 0.706
! - energy (eV/cell) = -17.98
! - magnetic moment (μB per cell) = 0.01
! - ΔH_f (0 K) (kJ per mole of atoms) = -24
! - ΔE to the lowest computed polymorph (meV per atom) = 0.0

[5]
! La5ScAg6 | Alexandria via LeMat-Bulk | GGA-PBE | relaxed; values from VASP
&SYSTEM
  ibrav = 0, nat = 12, ntyp = 3
/
ATOMIC_SPECIES
La 138.91 La.upf
Sc 44.96 Sc.upf
Ag 107.87 Ag.upf
CELL_PARAMETERS angstrom
8.378 -3.777 0.000
8.378 3.777 0.000
-1.641 0.000 5.026
ATOMIC_POSITIONS crystal
La 0.000 0.000 0.000
La 0.162 0.162 0.662
La 0.325 0.325 0.325
La 0.675 0.675 0.675
La 0.838 0.838 0.338
Sc 0.500 0.500 0.000
Ag 0.118 0.574 0.845
Ag 0.289 0.711 0.500
Ag 0.426 0.882 0.155
Ag 0.574 0.118 0.845
Ag 0.711 0.289 0.500
Ag 0.882 0.426 0.155
! - energy (eV/cell) = -50.96
! - magnetic moment (μB per cell) = 0.58
! - ΔH_f (0 K) (kJ per mole of atoms) = -23

[6]
! LaSc4Ag | Alexandria via LeMat-Bulk | GGA-PBE | relaxed; values from VASP
&SYSTEM
  ibrav = 0, nat = 6, ntyp = 3
/
ATOMIC_SPECIES
La 138.91 La.upf
Sc 44.96 Sc.upf
Ag 107.87 Ag.upf
CELL_PARAMETERS angstrom
0.000 4.287 4.287
4.287 0.000 4.287
4.287 4.287 0.000
ATOMIC_POSITIONS crystal
La 0.000 0.000 0.000
Sc 0.125 0.625 0.625
Sc 0.625 0.125 0.625
Sc 0.625 0.625 0.125
Sc 0.625 0.625 0.625
Ag 0.250 0.250 0.250
! - energy (eV/cell) = -31.34
! - magnetic moment (μB per cell) = 0.00
! - ΔH_f (0 K) (kJ per mole of atoms) = 28

[7]
! LaSc2Ag | Alexandria via LeMat-Bulk | GGA-PBE | relaxed; values from VASP
&SYSTEM
  ibrav = 0, nat = 4, ntyp = 3
/
ATOMIC_SPECIES
La 138.91 La.upf
Sc 44.96 Sc.upf
Ag 107.87 Ag.upf
CELL_PARAMETERS angstrom
3.580 0.000 0.000
0.000 4.847 0.000
-1.782 0.000 6.028
ATOMIC_POSITIONS crystal
La 0.000 0.000 0.000
Sc 0.260 0.000 0.525
Sc 0.668 0.500 0.338
Ag 0.393 0.500 0.784
! - energy (eV/cell) = -20.45
! - magnetic moment (μB per cell) = 0.00
! - ΔH_f (0 K) (kJ per mole of atoms) = 0
! - ΔE to the lowest computed polymorph (meV per atom) = 81.4

[8]
! La5Sc4Ag4 | Alexandria via LeMat-Bulk | GGA-PBE | relaxed; values from VASP
&SYSTEM
  ibrav = 0, nat = 13, ntyp = 3
/
ATOMIC_SPECIES
La 138.91 La.upf
Sc 44.96 Sc.upf
Ag 107.87 Ag.upf
CELL_PARAMETERS angstrom
-6.022 6.022 2.505
6.022 -6.022 2.505
6.022 6.022 -2.505
ATOMIC_POSITIONS crystal
La 0.000 0.000 0.000
La 0.303 0.372 0.675
La 0.372 0.697 0.068
La 0.628 0.303 0.932
La 0.697 0.628 0.325
Sc 0.099 0.581 0.680
Sc 0.419 0.099 0.518
Sc 0.581 0.901 0.482
Sc 0.901 0.419 0.320
Ag 0.069 0.257 0.326
Ag 0.257 0.931 0.188
Ag 0.743 0.069 0.812
Ag 0.931 0.743 0.674
! - energy (eV/cell) = -63.04
! - magnetic moment (μB per cell) = 0.00
! - ΔH_f (0 K) (kJ per mole of atoms) = -12

[9]
! LaSc2Ag2Sn2 | Alexandria via LeMat-Bulk | GGA-PBE | relaxed; values from VASP
&SYSTEM
  ibrav = 0, nat = 7, ntyp = 4
/
ATOMIC_SPECIES
La 138.91 La.upf
Sc 44.96 Sc.upf
Ag 107.87 Ag.upf
Sn 118.71 Sn.upf
CELL_PARAMETERS angstrom
2.379 1.374 8.620
-2.379 1.374 8.620
0.000 -2.748 8.620
ATOMIC_POSITIONS crystal
La 0.000 0.000 0.000
Sc 0.137 0.137 0.137
Sc 0.863 0.863 0.863
Ag 0.443 0.443 0.443
Ag 0.557 0.557 0.557
Sn 0.259 0.259 0.259
Sn 0.741 0.741 0.741
! - energy (eV/cell) = -34.81
! - magnetic moment (μB per cell) = 0.00
! - ΔH_f (0 K) (kJ per mole of atoms) = -48

[10]
! LaScAgSn | Alexandria via LeMat-Bulk | GGA-PBE | relaxed; values from VASP
&SYSTEM
  ibrav = 0, nat = 16, ntyp = 4
/
ATOMIC_SPECIES
La 138.91 La.upf
Sc 44.96 Sc.upf
Ag 107.87 Ag.upf
Sn 118.71 Sn.upf
CELL_PARAMETERS angstrom
7.437 0.000 0.000
0.000 7.437 0.000
0.000 0.000 7.437
ATOMIC_POSITIONS crystal
La 0.000 0.000 0.000
La 0.000 0.500 0.500
La 0.500 0.000 0.500
La 0.500 0.500 0.000
Sc 0.000 0.000 0.500
Sc 0.000 0.500 0.000
Sc 0.500 0.000 0.000
Sc 0.500 0.500 0.500
Ag 0.250 0.250 0.750
Ag 0.250 0.750 0.250
Ag 0.750 0.250 0.250
Ag 0.750 0.750 0.750
Sn 0.250 0.250 0.250
Sn 0.250 0.750 0.750
Sn 0.750 0.250 0.750
Sn 0.750 0.750 0.250
! - energy (eV/cell) = -79.77
! - magnetic moment (μB per cell) = 2.43
! - ΔH_f (0 K) (kJ per mole of atoms) = -44

[11]
! LaScAg2Sn | Alexandria via LeMat-Bulk | GGA-PBE | relaxed; values from VASP
&SYSTEM
  ibrav = 0, nat = 5, ntyp = 4
/
ATOMIC_SPECIES
La 138.91 La.upf
Sc 44.96 Sc.upf
Ag 107.87 Ag.upf
Sn 118.71 Sn.upf
CELL_PARAMETERS angstrom
5.077 0.000 0.000
0.000 5.077 0.000
0.000 0.000 5.793
ATOMIC_POSITIONS crystal
La 0.000 0.000 0.000
Sc 0.000 0.000 0.500
Ag 0.000 0.500 0.500
Ag 0.500 0.000 0.500
Sn 0.500 0.500 0.000
! - energy (eV/cell) = -18.25
! - magnetic moment (μB per cell) = 0.00
! - ΔH_f (0 K) (kJ per mole of atoms) = 52

[12]
! La2ScAg3Sn4 | Alexandria via LeMat-Bulk | GGA-PBE | relaxed; values from VASP
&SYSTEM
  ibrav = 0, nat = 10, ntyp = 4
/
ATOMIC_SPECIES
La 138.91 La.upf
Sc 44.96 Sc.upf
Ag 107.87 Ag.upf
Sn 118.71 Sn.upf
CELL_PARAMETERS angstrom
4.607 0.000 0.000
0.000 4.607 0.000
0.000 0.000 12.125
ATOMIC_POSITIONS crystal
La 0.000 0.500 0.241
La 0.500 0.000 0.759
Sc 0.000 0.000 0.500
Ag 0.000 0.500 0.864
Ag 0.500 0.000 0.136
Ag 0.500 0.500 0.500
Sn 0.000 0.000 0.000
Sn 0.000 0.500 0.643
Sn 0.500 0.000 0.357
Sn 0.500 0.500 0.000
! - energy (eV/cell) = -45.64
! - magnetic moment (μB per cell) = 0.00
! - ΔH_f (0 K) (kJ per mole of atoms) = -47